ZrP2Rh: relaxed, PBE.

```
ZrP2Rh
1.0
-2.402 -3.340 -1.458
2.656 -0.409 -3.439
1.821 -2.029 1.648
Rh P Zr
1 2 1
Direct
0.500 0.000 0.500 Rh
0.500 0.500 0.000 P
0.000 0.000 0.000 P
0.000 0.500 0.500 Zr
```

Results
Magnetic moment in μB per formula unit: 0.00
Theoretical density in g cm⁻³: 7.0
Energy relative to the lowest polymorph listed for this composition in meV/atom: 104
Space-group type: P4/mmm, No. 123
Energy of formation in eV per atom: -0.7324